The following is a DFT calculation (GGA-PBE) of Ca2AcCe after structural relaxation.

Cell: 3.6858 3.6858 40.7658 Å, 90.00 90.00 120.00°
Fractional coordinates of all 12 atoms:
Ca 0.0000 0.0000 0.0857
Ca 0.0000 0.0000 0.9143
Ca 0.3333 0.6667 0.5810
Ca 0.3333 0.6667 0.7524
Ca 0.6667 0.3333 0.2476
Ca 0.6667 0.3333 0.4190
Ac 0.0000 0.0000 0.5000
Ac 0.3333 0.6667 0.1667
Ac 0.6667 0.3333 0.8333
Ce 0.0000 0.0000 0.0000
Ce 0.3333 0.6667 0.6667
Ce 0.6667 0.3333 0.3333

Formation energy from the elements = 281 meV per atom
Space group = R-3m, No. 166
Offset from the most stable computed form = 0.075 eV/atom

=====

The following is a DFT calculation (GGA-PBE) of La2Si3Pt9 after structural relaxation.

Cell: 7.7817 7.7817 10.3230 Å, 112.97 112.97 59.53°
Fractional coordinates of all 28 atoms:
La 0.0868 0.2586 0.2487
La 0.2586 0.0868 0.7487
La 0.7414 0.9132 0.2513
La 0.9132 0.7414 0.7513
Si 0.0000 0.5000 0.0000
Si 0.1458 0.6791 0.5030
Si 0.3209 0.8542 0.9970
Si 0.5000 0.0000 0.5000
Si 0.6791 0.1458 0.0030
Si 0.8542 0.3209 0.4970
Pt 0.0134 0.8619 0.0752
Pt 0.1381 0.9866 0.4248
Pt 0.1945 0.3587 0.5698
Pt 0.2063 0.5848 0.2617
Pt 0.3081 0.4924 0.9487
Pt 0.3587 0.1945 0.0698
Pt 0.3628 0.6372 0.7500
Pt 0.4152 0.7937 0.2383
Pt 0.4924 0.3081 0.4487
Pt 0.5076 0.6919 0.5513
Pt 0.5848 0.2063 0.7617
Pt 0.6372 0.3628 0.2500
Pt 0.6413 0.8055 0.9302
Pt 0.6919 0.5076 0.0513
Pt 0.7937 0.4152 0.7383
Pt 0.8055 0.6413 0.4302
Pt 0.8619 0.0134 0.5752
Pt 0.9866 0.1381 0.9248

Space group = C2/c, No. 15
Formation energy from raw total energies = -0.878 eV per atom

=====

The following is a DFT calculation (GGA-PBE) of LaCe2IO4 after structural relaxation.

Cell: 4.0996 4.0996 9.5184 Å, 90.00 90.00 90.00°
Fractional coordinates of all 8 atoms:
La 0.0000 0.0000 0.0000
Ce 0.5000 0.5000 0.2604
Ce 0.5000 0.5000 0.7396
I 0.0000 0.0000 0.5000
O 0.0000 0.5000 0.1576
O 0.0000 0.5000 0.8424
O 0.5000 0.0000 0.1576
O 0.5000 0.0000 0.8424

Space group = P4/mmm, No. 123
Formation energy from raw total energies = -3.097 eV per atom

=====

The following is a DFT calculation (GGA-PBE) of Nd5DyN6 after structural relaxation.

Cell: 6.2783 6.2783 6.2758 Å, 99.59 99.59 120.00°
Fractional coordinates of all 12 atoms:
Nd 0.0000 0.0000 0.0000
Nd 0.1669 0.8331 0.5000
Nd 0.3345 0.6655 0.0000
Nd 0.6655 0.3345 0.0000
Nd 0.8331 0.1669 0.5000
Dy 0.5000 0.5000 0.5000
N 0.0918 0.4180 0.2542
N 0.2561 0.2561 0.7471
N 0.4180 0.0918 0.2542
N 0.5820 0.9082 0.7458
N 0.7439 0.7439 0.2529
N 0.9082 0.5820 0.7458

Space group = C2/m, No. 12
Formation energy from raw total energies = -1.404 eV per atom

=====

The following is a DFT calculation (GGA-PBE) of Cs5HgAs2 after structural relaxation.

Cell: 15.3606 15.3606 15.3606 Å, 23.35 23.35 23.35°
Fractional coordinates of all 8 atoms:
Cs 0.0000 0.0000 0.0000
Cs 0.1352 0.1352 0.1352
Cs 0.2501 0.2501 0.2501
Cs 0.7499 0.7499 0.7499
Cs 0.8648 0.8648 0.8648
Hg 0.5000 0.5000 0.5000
As 0.4430 0.4430 0.4430
As 0.5570 0.5570 0.5570

Formation energy from the elements = -312 meV per atom
Space group = R-3m, No. 166

=====

The following is a DFT calculation (GGA-PBE) of Y2ThTlC after structural relaxation.

Cell: 4.9662 4.9662 5.0610 Å, 90.00 90.00 90.00°
Fractional coordinates of all 5 atoms:
Y 0.0000 0.5000 0.0000
Y 0.5000 0.0000 0.0000
Th 0.0000 0.0000 0.5000
Tl 0.5000 0.5000 0.5000
C 0.0000 0.0000 0.0000

Formation energy from the elements = -390 meV per atom
Space group = P4/mmm, No. 123